A plane-wave DFT calculation with GGA-PBEsol was carried out for a geometry-optimized LiSb structure.

a = 11.271 Å, b = 3.152 Å, c = 5.060 Å
α = 90.00°, β = 110.05°, γ = 90.00°
Space group C2/m (No. 12)
Symmetry-distinct sites (fractional):
Li 0.121 0.000 0.259
Sb 0.119 0.500 0.752

Output
The calculation puts the total energy at -3.677 eV per atom. The energy above the most stable polymorph in this dataset is 0.422 kcal/mol of atoms.